Entry from Alexandria via LeMat-Bulk: a relaxed structure of CaAl6H12S4O28 (PBEsol).

Summary:
For the final energy, the calculation gives -6.44 eV per atom.

Cell: 6.9724 6.9724 33.0397 Å, 90.00 90.00 120.00°
Closest atoms and distances in Å follow each position.
Space group R-3m (No. 166, hexagonal axes)
Inequivalent atoms, fractional coordinates:
Ca: 0.0000 0.0000 0.0000  12 O 2.58-2.75
Al: 0.0027 0.5013 0.2512  6 O 1.86-1.99
H: 0.0497 0.5248 0.8869  1 O 0.99
H: 0.0685 0.5343 0.3896  1 O 0.99
S: 0.0000 0.0000 0.1514  4 O 1.47-1.49
S: 0.0000 0.0000 0.3429  4 O 1.47-1.49
O: 0.0000 0.0000 0.1958  1 S 1.47
O: 0.0000 0.0000 0.2985  1 S 1.47
O: 0.0722 0.5361 0.0932  1 H 0.99
O: 0.0901 0.5450 0.6025  1 H 0.99
O: 0.1010 0.5505 0.8031  1 S 1.49
O: 0.1012 0.5506 0.3087  1 S 1.49

---

Entry from Alexandria via LeMat-Bulk: a relaxed structure of CaYHf2Al (PBEsol).

Summary:
The value obtained for the formation energy is 33.0 kcal/mol of atoms.

Cell: 5.1273 5.1273 5.3082 Å, 90.00 90.00 90.00°
Closest atoms and distances in Å follow each position.
Space group P4/mmm (No. 123)
Inequivalent atoms, fractional coordinates:
Ca: 0.0000 0.0000 0.0000  2 Y 2.65
Y: 0.0000 0.0000 0.5000  4 Hf 2.56, 2 Ca 2.65
Hf: 0.0000 0.5000 0.5000  2 Y 2.56
Al: 0.5000 0.5000 0.0000  4 Ca 3.63, 8 Hf 3.69

---

Entry from Alexandria via LeMat-Bulk: a relaxed structure of CaAl2Hg2 (PBEsol).

Summary:
The value obtained for the formation energy is -6.3 kcal/mol of atoms.

Cell: 4.5070 4.5070 10.9406 Å, 90.00 90.00 90.00°
Closest atoms and distances in Å follow each position.
Space group I4/mmm (No. 139)
Inequivalent atoms, fractional coordinates:
Ca: 0.0000 0.0000 0.0000  8 Al 3.43, 8 Hg 3.54
Al: 0.0000 0.0000 0.3848  1 Al 2.52, 4 Hg 2.69
Hg: 0.0000 0.5000 0.2500  4 Al 2.69

---

Entry from Alexandria via LeMat-Bulk: a relaxed structure of CaAlHg3 (PBEsol).

Summary:
The value obtained for the formation energy is -2.8 kcal/mol of atoms.

Cell: 5.0857 5.0857 5.0857 Å, 90.00 90.00 90.00°
Closest atoms and distances in Å follow each position.
Space group Pm-3m (No. 221)
Inequivalent atoms, fractional coordinates:
Ca: 0.0000 0.0000 0.0000  12 Hg 3.60
Al: 0.5000 0.5000 0.5000  6 Hg 2.54
Hg: 0.0000 0.5000 0.5000  2 Al 2.54

---

Entry from Alexandria via LeMat-Bulk: a relaxed structure of CaAl2SiHg (PBEsol).

Summary:
The value obtained for the formation energy (no corrections) is 1.3306 eV/atom.

Cell: 5.4595 5.4595 5.3511 Å, 90.00 90.00 90.00°
Closest atoms and distances in Å follow each position.
Space group P4/mmm (No. 123)
Inequivalent atoms, fractional coordinates:
Ca: 0.0000 0.0000 0.0000  2 Hg 2.68, 4 Al 2.73
Al: 0.0000 0.5000 0.0000  2 Ca 2.73
Si: 0.5000 0.5000 0.5000  8 Al 3.82, 4 Hg 3.86
Hg: 0.0000 0.0000 0.5000  2 Ca 2.68

---

Entry from Alexandria via LeMat-Bulk: a relaxed structure of Ca2Al2I (PBEsol).

Summary:
The value obtained for the formation energy (no corrections) is -0.0206 eV/atom.

Cell: 6.0417 6.0417 8.4783 Å, 90.00 90.00 90.00°
Closest atoms and distances in Å follow each position.
Space group I4/mmm (No. 139)
Inequivalent atoms, fractional coordinates:
Ca: 0.0000 0.5000 0.2500  4 Al 3.15
Al: 0.0000 0.0000 0.1455  1 Al 2.47
I: 0.0000 0.0000 0.5000  2 Al 3.01

---

Entry from Alexandria via LeMat-Bulk: a relaxed structure of CaAlSb2I (PBEsol).

Summary:
The value obtained for the formation energy (no corrections) is 0.4631 eV/atom.

Cell: 5.7304 5.7304 5.7919 Å, 90.00 90.00 90.00°
Closest atoms and distances in Å follow each position.
Space group P4/mmm (No. 123)
Inequivalent atoms, fractional coordinates:
Ca: 0.0000 0.0000 0.0000  4 Sb 2.87, 2 I 2.90
Al: 0.5000 0.5000 0.5000  4 I 4.05, 8 Sb 4.07
Sb: 0.0000 0.5000 0.0000  2 Ca 2.87
I: 0.0000 0.0000 0.5000  2 Ca 2.90

---

Entry from Alexandria via LeMat-Bulk: a relaxed structure of CaAlTe2I (PBEsol).

Summary:
The calculation puts the energy above the most stable polymorph in this dataset at 0 meV per atom. The value obtained for the formation energy (no corrections) is -0.5211 eV/atom.

Cell: 5.3613 5.3613 5.4872 Å, 90.00 90.00 90.00°
Closest atoms and distances in Å follow each position.
Space group P4/mmm (No. 123)
Inequivalent atoms, fractional coordinates:
Ca: 0.0000 0.0000 0.0000  4 I 3.79, 8 Te 3.84
Al: 0.5000 0.5000 0.5000  4 Te 2.68, 2 I 2.74
Te: 0.0000 0.5000 0.5000  2 Al 2.68
I: 0.5000 0.5000 0.0000  2 Al 2.74

---

- Which formula does entry 3 have?
  CaAl2Hg2